Ti2Al5Fe2Cu | PBE | optimized geometry

Structure (POSCAR):
```
Ti2Al5Fe2Cu
1.0
8.579 0.000 0.000
0.000 8.579 0.000
0.000 0.000 3.950
Ti Al Fe Cu
4 10 4 2
direct
0.172 0.328 0.000 Ti
0.328 0.828 0.000 Ti
0.672 0.172 0.000 Ti
0.828 0.672 0.000 Ti
0.000 0.500 0.500 Al
0.074 0.793 0.500 Al
0.207 0.074 0.500 Al
0.293 0.574 0.500 Al
0.426 0.293 0.500 Al
0.500 0.000 0.500 Al
0.574 0.707 0.500 Al
0.707 0.426 0.500 Al
0.793 0.926 0.500 Al
0.926 0.207 0.500 Al
0.118 0.618 0.000 Fe
0.382 0.118 0.000 Fe
0.618 0.882 0.000 Fe
0.882 0.382 0.000 Fe
0.000 0.000 0.000 Cu
0.500 0.500 0.000 Cu
```

Results
The value obtained for the density of states at the Fermi level is 8.366 states/eV/f.u. The total energy is -116.5 eV/cell. Its formation energy is -2.72 eV/f.u. As for the symmetry: P4/mbm (127).